(1)
Al2PSe (PBE-GGA, optimized geometry); ΔE_f (raw) = -183 kJ/mol of formula units; relative energy among the computed polymorphs = 0 kJ/mol of formula units; SG = R-3m (166)
1.0
-1.951 6.127 -0.499
-3.083 4.401 -3.567
-5.006 4.044 -0.428
P Al Se
1 2 1
Direct
0.250 0.250 0.250
0.991 0.991 0.991
0.509 0.509 0.509
0.750 0.750 0.750

(2)
YZrTeRh2 (PBE-GGA, optimized geometry); ΔE_f (raw) = -13 kJ/mol of formula units; SG = P4/mmm (123)
1.0
4.832 0.000 0.000
0.000 5.457 0.000
0.000 0.000 4.832
Y Te Rh Zr
1 1 2 1
Direct
0.500 0.500 0.500
0.000 0.500 0.000
0.000 0.000 0.500
0.500 0.000 0.000
0.000 0.000 0.000

(3)
La2NdDyTm (PBE-GGA, optimized geometry); raw total energy = -4.355 eV per atom; SG = Cmcm (63)
1.0
7.383 0.000 0.000
0.000 8.512 0.000
0.000 -4.256 5.856
La Nd Dy Tm
4 2 2 2
Direct
0.500 0.304 0.000
0.000 0.696 0.000
0.500 0.696 0.000
0.000 0.304 0.000
0.250 0.725 0.449
0.750 0.275 0.551
0.750 0.740 0.480
0.250 0.260 0.520
0.250 0.989 0.978
0.750 0.011 0.022

(4)
TbPm2Y4Mg (PBE-GGA, optimized geometry); raw total energy = -5.172 eV per atom; SG = Pmmm (47)
1.0
4.995 0.000 0.000
0.000 4.896 1.047
0.000 2.767 10.989
Tb Pm Y Mg
1 2 4 1
Direct
0.000 0.500 0.500
0.000 0.000 0.000
0.500 0.000 0.500
0.000 0.748 0.752
0.000 0.252 0.248
0.500 0.752 0.248
0.500 0.248 0.752
0.500 0.500 0.000

(5)
CeYAl (PBE-GGA, optimized geometry); relative energy among the computed polymorphs = 9 kJ/mol of formula units; SG = I4mm (107)
1.0
3.360 0.000 0.000
0.000 3.360 0.000
-1.680 -1.680 7.032
Y Al Ce
1 1 1
Direct
0.596 0.596 0.193
0.952 0.952 0.903
0.302 0.302 0.604

(6)
KPr2PtO6 (PBE-GGA, optimized geometry); ΔE_f (raw) = -1952 kJ/mol of formula units; SG = P2_1/c (14)
1.0
-0.033 2.625 5.069
-0.674 -5.543 2.867
8.773 -0.772 0.570
K Pr Pt O
2 4 2 12
Direct
0.500 0.000 0.000
0.000 0.500 0.500
0.009 0.976 0.280
0.509 0.524 0.780
0.991 0.024 0.720
0.491 0.476 0.220
0.500 0.000 0.500
0.000 0.500 0.000
0.304 0.651 0.014
0.804 0.849 0.514
0.696 0.349 0.986
0.196 0.151 0.486
0.352 0.767 0.369
0.852 0.733 0.869
0.648 0.233 0.631
0.148 0.267 0.131
0.866 0.643 0.189
0.366 0.857 0.689
0.134 0.357 0.811
0.634 0.143 0.311

Number 1: M_tot 0.00 μB/atom, N(E_F) 0.432 states/eV/f.u.. Number 2: M_tot 0.00 μB/atom, N(E_F) 2.474 states/eV/f.u.. Number 3: M_tot 0.00 μB/atom, N(E_F) 6.965 states/eV/f.u.. Number 4: M_tot 0.00 μB/atom, N(E_F) 12.725 states/eV/f.u.. Number 5: M_tot 0.24 μB/atom, N(E_F) 5.319 states/eV/f.u.. Number 6: M_tot 0.11 μB/atom, N(E_F) 8.269 states/eV/f.u..